6
Lattice="-0.8759 3.6888 3.3096 1.9324 -2.9624 1.5578 5.3874 1.1026 0.2180" Properties=species:S:1:pos:R:3 comment="NbSiOs | Alexandria via LeMat-Bulk | PBE-GGA | relaxed" m_tot_mub_per_fu=0.000 spacegroup="P-1, No. 2" dos_at_fermi_per_ev_fu=1.42 e_form_raw_ev_per_atom=-0.48 pbc="T T T"
Si 3.7085 0.2102 2.5708
Si 2.0093 -1.3144 1.7642
Os 5.3734 0.4053 0.8681
Os 3.7993 2.5557 2.1272
Nb 3.7295 1.4387 4.8755
Nb 1.1125 1.1458 2.7692